Mn3In5O12 | GGA+U | relaxed

Lattice parameters (Å, degrees): 11.148 11.148 11.148 109.47 109.47 109.47
Fractional positions:
Mn: 0.125 0.250 0.375
Mn: 0.125 0.375 0.750
Mn: 0.250 0.375 0.125
Mn: 0.250 0.875 0.625
Mn: 0.375 0.125 0.250
Mn: 0.375 0.750 0.125
Mn: 0.625 0.250 0.875
Mn: 0.625 0.875 0.750
Mn: 0.750 0.125 0.375
Mn: 0.750 0.625 0.875
Mn: 0.875 0.625 0.250
Mn: 0.875 0.750 0.625
In: 0.000 0.000 0.000
In: 0.000 0.000 0.500
In: 0.000 0.500 0.000
In: 0.000 0.500 0.500
In: 0.125 0.750 0.875
In: 0.125 0.875 0.250
In: 0.250 0.125 0.875
In: 0.250 0.625 0.375
In: 0.375 0.250 0.625
In: 0.375 0.625 0.750
In: 0.500 0.000 0.000
In: 0.500 0.000 0.500
In: 0.500 0.500 0.000
In: 0.500 0.500 0.500
In: 0.625 0.375 0.250
In: 0.625 0.750 0.375
In: 0.750 0.375 0.625
In: 0.750 0.875 0.125
In: 0.875 0.125 0.750
In: 0.875 0.250 0.125
O: 0.050 0.223 0.131
O: 0.050 0.327 0.919
O: 0.081 0.631 0.408
O: 0.081 0.950 0.673
O: 0.092 0.723 0.673
O: 0.092 0.869 0.419
O: 0.131 0.050 0.223
O: 0.131 0.581 0.908
O: 0.173 0.223 0.592
O: 0.173 0.450 0.581
O: 0.223 0.131 0.050
O: 0.223 0.592 0.173
O: 0.277 0.327 0.908
O: 0.277 0.450 0.369
O: 0.327 0.908 0.277
O: 0.327 0.919 0.050
O: 0.369 0.277 0.450
O: 0.369 0.592 0.919
O: 0.408 0.081 0.631
O: 0.408 0.827 0.777
O: 0.419 0.092 0.869
O: 0.419 0.827 0.550
O: 0.450 0.369 0.277
O: 0.450 0.581 0.173
O: 0.550 0.419 0.827
O: 0.550 0.631 0.723
O: 0.581 0.173 0.450
O: 0.581 0.908 0.131
O: 0.592 0.173 0.223
O: 0.592 0.919 0.369
O: 0.631 0.408 0.081
O: 0.631 0.723 0.550
O: 0.673 0.081 0.950
O: 0.673 0.092 0.723
O: 0.723 0.550 0.631
O: 0.723 0.673 0.092
O: 0.777 0.408 0.827
O: 0.777 0.869 0.950
O: 0.827 0.550 0.419
O: 0.827 0.777 0.408
O: 0.869 0.419 0.092
O: 0.869 0.950 0.777
O: 0.908 0.131 0.581
O: 0.908 0.277 0.327
O: 0.919 0.050 0.327
O: 0.919 0.369 0.592
O: 0.950 0.673 0.081
O: 0.950 0.777 0.869

Volume: 1066.6 Å³ per cell
Symmetry: Ia-3d
Crystal system: cubic
Density of states at the Fermi level: 54.50 states/eV per cell
Final energy: -5.97 eV per atom
Mass density: 5797 kg/m³